# KRbRu2F | the Alexandria database | PBE | relaxed
# Volume   28.77 Å³ per atom
# Energy relative to the elements, uncorrected   1336 meV/atom
# Magnetic moment   4.60 μB/f.u.
# Total DFT energy (no corrections)   -15.81 eV per formula unit
# D(E_F)   1.65 states/eV per atom
data_KRbRu2F
_chemical_formula_sum 'K1 Rb1 Ru2 F1'
_space_group_name_H-M_alt 'P 4/m m m'
_space_group_IT_number 123
_space_group_name_Hall '-P 4 2'
_cell_length_a 5.206
_cell_length_b 5.206
_cell_length_c 5.308
_cell_angle_alpha 90.00
_cell_angle_beta 90.00
_cell_angle_gamma 90.00
loop_
_atom_site_label
_atom_site_fract_x
_atom_site_fract_y
_atom_site_fract_z
K1 0.000 0.000 0.000
Rb1 0.500 0.500 0.500
Ru1 0.000 0.500 0.000
F1 0.000 0.000 0.500

# HoTm2ThRu4 | the Alexandria database | PBE | relaxed
# Volume   19.78 Å³ per atom
# Magnetic moment   0.00 μB/f.u.
# ΔE_f   -0.478 eV per atom
# Total DFT energy (no corrections)   -61.87 eV per formula unit
# D(E_F)   0.47 states/eV per atom
data_HoTm2ThRu4
_chemical_formula_sum 'Ho3 Tm6 Th3 Ru12'
_space_group_name_H-M_alt 'R -3 m'
_space_group_IT_number 166
_space_group_name_Hall '-R 3 2"'
_cell_length_a 4.8257
_cell_length_b 4.8257
_cell_length_c 23.5413
_cell_angle_alpha 90.00
_cell_angle_beta 90.00
_cell_angle_gamma 120.00
loop_
_atom_site_label
_atom_site_fract_x
_atom_site_fract_y
_atom_site_fract_z
Ho1 0.0000 0.0000 0.0000
Tm1 0.0000 0.0000 0.2542
Th1 0.0000 0.0000 0.5000
Ru1 0.0000 0.0000 0.1268
Ru2 0.0000 0.0000 0.3774